Material: ScNi3O4
Method: DFT, PBE+U
State: relaxed

a = 6.027 Å, b = 8.657 Å, c = 3.080 Å
α = 90.00°, β = 90.00°, γ = 90.00°
Space group Cmmm (No. 65)
Unique sites:
Sc1 0.000 0.000 0.000 (multiplicity 2)
Ni1 0.000 0.500 0.000 (multiplicity 2)
Ni2 0.250 0.250 0.500 (multiplicity 4)
O1 0.000 0.249 0.000 (multiplicity 4)
O2 0.244 0.000 0.500 (multiplicity 4)

Computed properties:
For the magnetic moment, the calculation gives 5.01 μB per formula unit. The energy comes out at -92.1 eV for the cell shown.